Entry 1:
TaPb2Au | meta-GGA SCAN | single point on PBEsol structure

V = 86.6 Å³/f.u.
Excess energy over the best structure of this formula in the dataset = 0 meV/atom
VASP energy = -856.6 eV/cell

abc: 3.2291 3.2291 28.7821
angles: 90.00 90.00 120.00
Space group R-3m (No. 166, hexagonal axes)
One atom of each set of equivalent atoms:
Ta 0.0000 0.0000 0.0000 [3 per cell]
Pb 0.0000 0.0000 0.2488 [6 per cell]
Au 0.0000 0.0000 0.5000 [3 per cell]

---

Entry 2:
Li3Au | meta-GGA SCAN | single point on PBEsol structure

V = 60.3 Å³/f.u.
VASP energy = -156.7 eV/cell

abc: 4.508 5.688 4.703
angles: 90.00 90.00 90.00
Space group Pmmn (No. 59, origin choice 2)
One atom of each set of equivalent atoms:
Li 0.250 0.002 0.187 [4 per cell]
Li 0.250 0.750 0.659 [2 per cell]
Au 0.250 0.250 0.694 [2 per cell]

---

Entry 3:
AgPt2W | meta-GGA SCAN | single point on PBEsol structure

V = 66.9 Å³/f.u.
Excess energy over the best structure of this formula in the dataset = 269 meV/atom
VASP energy = -482.7 eV/cell

abc: 2.714 4.419 11.154
angles: 90.00 90.00 90.00
Space group Imm2 (No. 44)
One atom of each set of equivalent atoms:
Ag 0.000 0.000 0.000 [2 per cell]
Pt 0.000 0.000 0.427 [2 per cell]
Pt 0.000 0.500 0.159 [2 per cell]
W 0.000 0.500 0.733 [2 per cell]

---

Entry 4:
Co3HgPd | meta-GGA SCAN | single point on PBEsol structure

V = 90.6 Å³/f.u.
Excess energy over the best structure of this formula in the dataset = 0 meV/atom
VASP energy = -146.7 eV/cell

abc: 4.491 4.491 4.491
angles: 90.00 90.00 90.00
Space group Pm-3m (No. 221)
One atom of each set of equivalent atoms:
Co 0.000 0.000 0.500 [3 per cell]
Hg 0.500 0.500 0.500 [1 per cell]
Pd 0.000 0.000 0.000 [1 per cell]

---

Number 4 is which compound?
Co3HgPd